Material: Na2MgBCl
Method: DFT, PBE-GGA
State: relaxed

Calculated values
E_form (uncorrected) (eV/atom): 0.04
Total energy (Ha/atom): -0.092
Magnetic moment (Bohr magnetons per cell): 2.000
Density of states at the Fermi level (states/eV/atom): 0.150

a b c (Å): 5.215 5.215 4.505
angles (deg): 90.00 90.00 90.00
Space group P4/mmm (No. 123)
One atom of each set of equivalent atoms:
Na 0.000 0.500 0.000
Mg 0.000 0.000 0.500
B 0.000 0.000 0.000
Cl 0.500 0.500 0.500